This record from Alexandria via LeMat-Bulk describes a geometry-optimized Tb4GeAs2S structure. The functional is PBE.

Cell lengths 4.088, 7.110, 7.113 Å; angles 70.65, 90.00, 90.00 degrees
Fractional positions:
Tb (0.000, 0.749, 0.748)
Tb (0.000, 0.251, 0.252)
Tb (0.500, 0.749, 0.249)
Tb (0.500, 0.251, 0.751)
Ge (0.000, 0.500, 0.500)
As (0.000, 0.000, 0.000)
As (0.500, 0.000, 0.500)
S (0.500, 0.500, 0.000)

## Properties
- VASP energy (eV for the cell shown) = -48.634
- N(E_F) (states/eV/f.u.) = 1.34